#one
An optimized crystal structure of InFeCuW, computed with PBE.

Cell lengths 4.3292, 4.3292, 4.3292 Å; angles 60.00, 60.00, 60.00 degrees
Last column: nearest neighbours and their distance in Å.
Sites, in units of the cell vectors:
Cu1 0.7500 0.7500 0.7500  4 W 2.65, 4 In 2.65
Fe1 0.2500 0.2500 0.2500  4 In 2.65, 4 W 2.65
In1 0.0000 0.0000 0.0000  4 Fe 2.65, 4 Cu 2.65
W1 0.5000 0.5000 0.5000  4 Fe 2.65, 4 Cu 2.65

The crystal system is cubic. As for the theoretical density: 12.10 g/cm3.

***

#two
An optimized crystal structure of InFeCuW, computed with PBE.

Cell lengths 4.3950, 4.3950, 4.3950 Å; angles 60.00, 60.00, 60.00 degrees
Last column: nearest neighbours and their distance in Å.
Sites, in units of the cell vectors:
Cu1 0.7500 0.7500 0.7500  4 Fe 2.69, 4 In 2.69
Fe1 0.5000 0.5000 0.5000  4 W 2.69, 4 Cu 2.69
In1 0.0000 0.0000 0.0000  4 W 2.69, 4 Cu 2.69
W1 0.2500 0.2500 0.2500  4 Fe 2.69, 4 In 2.69

The crystal system is cubic. As for the theoretical density: 11.56 g/cm3.

***

Stability comparison, relative energies in eV/atom: #one 0.000; #two 0.196

***

#one
An optimized crystal structure of YInFeCu, computed with PBE.

Cell lengths 4.6925, 4.6925, 4.6925 Å; angles 60.00, 60.00, 60.00 degrees
Last column: nearest neighbours and their distance in Å.
Sites, in units of the cell vectors:
Cu1 0.7500 0.7500 0.7500  4 Y 2.87, 4 In 2.87
Fe1 0.2500 0.2500 0.2500  4 In 2.87, 4 Y 2.87
In1 0.0000 0.0000 0.0000  4 Fe 2.87, 4 Cu 2.87
Y1 0.5000 0.5000 0.5000  4 Cu 2.87, 4 Fe 2.87

The crystal system is cubic. As for the theoretical density: 7.34 g/cm3.

***

#two
An optimized crystal structure of YInFeCu, computed with PBE.

Cell lengths 4.7050, 4.7050, 4.7050 Å; angles 60.00, 60.00, 60.00 degrees
Last column: nearest neighbours and their distance in Å.
Sites, in units of the cell vectors:
Cu1 0.7500 0.7500 0.7500  4 Fe 2.88, 4 In 2.88
Fe1 0.5000 0.5000 0.5000  4 Cu 2.88, 4 Y 2.88
In1 0.0000 0.0000 0.0000  4 Y 2.88, 4 Cu 2.88
Y1 0.2500 0.2500 0.2500  4 In 2.88, 4 Fe 2.88

The crystal system is cubic. As for the theoretical density: 7.29 g/cm3.

***

Stability comparison, relative energies in eV/atom: #one 0.000; #two 0.230

***

#one
An optimized crystal structure of ZrInFeCu, computed with PBE.

Cell lengths 4.5743, 4.5743, 4.5743 Å; angles 60.00, 60.00, 60.00 degrees
Last column: nearest neighbours and their distance in Å.
Sites, in units of the cell vectors:
Cu1 0.7500 0.7500 0.7500  4 In 2.80, 4 Fe 2.80
Fe1 0.5000 0.5000 0.5000  4 Zr 2.80, 4 Cu 2.80
In1 0.0000 0.0000 0.0000  4 Cu 2.80, 4 Zr 2.80
Zr1 0.2500 0.2500 0.2500  4 Fe 2.80, 4 In 2.80

The crystal system is cubic. As for the theoretical density: 7.98 g/cm3.

***

#two
An optimized crystal structure of ZrInFeCu, computed with PBE.

Cell lengths 4.5418, 4.5418, 4.5418 Å; angles 60.00, 60.00, 60.00 degrees
Last column: nearest neighbours and their distance in Å.
Sites, in units of the cell vectors:
Cu1 0.7500 0.7500 0.7500  4 In 2.78, 4 Zr 2.78
Fe1 0.2500 0.2500 0.2500  4 Zr 2.78, 4 In 2.78
In1 0.0000 0.0000 0.0000  4 Cu 2.78, 4 Fe 2.78
Zr1 0.5000 0.5000 0.5000  4 Fe 2.78, 4 Cu 2.78

The crystal system is cubic. As for the theoretical density: 8.16 g/cm3.

***

Stability comparison, relative energies in eV/atom: #one 0.225; #two 0.000

***

#one
An optimized crystal structure of LaFeCuTe, computed with PBE.

Cell lengths 5.0315, 5.0315, 5.0315 Å; angles 60.00, 60.00, 60.00 degrees
Last column: nearest neighbours and their distance in Å.
Sites, in units of the cell vectors:
Cu1 0.7500 0.7500 0.7500  4 Fe 3.08, 4 Te 3.08
Fe1 0.5000 0.5000 0.5000  4 La 3.08, 4 Cu 3.08
La1 0.2500 0.2500 0.2500  4 Fe 3.08, 4 Te 3.08
Te1 0.0000 0.0000 0.0000  4 La 3.08, 4 Cu 3.08

The crystal system is cubic. As for the theoretical density: 7.11 g/cm3.

***

#two
An optimized crystal structure of LaFeCuTe, computed with PBE.

Cell lengths 5.0070, 5.0070, 5.0070 Å; angles 60.00, 60.00, 60.00 degrees
Last column: nearest neighbours and their distance in Å.
Sites, in units of the cell vectors:
Cu1 0.7500 0.7500 0.7500  4 La 3.07, 4 Fe 3.07
Fe1 0.0000 0.0000 0.0000  4 Te 3.07, 4 Cu 3.07
La1 0.5000 0.5000 0.5000  4 Te 3.07, 4 Cu 3.07
Te1 0.2500 0.2500 0.2500  4 Fe 3.07, 4 La 3.07

The crystal system is cubic. As for the theoretical density: 7.22 g/cm3.

***

Stability comparison, relative energies in eV/atom: #one 0.180; #two 0.000

***

#one
An optimized crystal structure of LaFeCuW, computed with PBE.

Cell lengths 4.5282, 4.5282, 4.5282 Å; angles 60.00, 60.00, 60.00 degrees
Last column: nearest neighbours and their distance in Å.
Sites, in units of the cell vectors:
Cu1 0.7500 0.7500 0.7500  4 Fe 2.77, 4 W 2.77
Fe1 0.5000 0.5000 0.5000  4 La 2.77, 4 Cu 2.77
La1 0.2500 0.2500 0.2500  4 Fe 2.77, 4 W 2.77
W1 0.0000 0.0000 0.0000  4 La 2.77, 4 Cu 2.77

The crystal system is cubic. As for the theoretical density: 11.18 g/cm3.

***

#two
An optimized crystal structure of LaFeCuW, computed with PBE.

Cell lengths 4.6503, 4.6503, 4.6503 Å; angles 60.00, 60.00, 60.00 degrees
Last column: nearest neighbours and their distance in Å.
Sites, in units of the cell vectors:
Cu1 0.7500 0.7500 0.7500  4 La 2.85, 4 W 2.85
Fe1 0.2500 0.2500 0.2500  4 La 2.85, 4 W 2.85
La1 0.5000 0.5000 0.5000  4 Fe 2.85, 4 Cu 2.85
W1 0.0000 0.0000 0.0000  4 Fe 2.85, 4 Cu 2.85

The crystal system is cubic. As for the theoretical density: 10.32 g/cm3.

***

Stability comparison, relative energies in eV/atom: #one 0.244; #two 0.000

***

#one
An optimized crystal structure of LuFeCuMo, computed with PBE.

Cell lengths 4.3960, 4.3960, 4.3960 Å; angles 60.00, 60.00, 60.00 degrees
Last column: nearest neighbours and their distance in Å.
Sites, in units of the cell vectors:
Cu1 0.7500 0.7500 0.7500  4 Lu 2.69, 4 Fe 2.69
Fe1 0.0000 0.0000 0.0000  4 Cu 2.69, 4 Mo 2.69
Lu1 0.5000 0.5000 0.5000  4 Cu 2.69, 4 Mo 2.69
Mo1 0.2500 0.2500 0.2500  4 Lu 2.69, 4 Fe 2.69

The crystal system is cubic. As for the theoretical density: 10.79 g/cm3.

***

#two
An optimized crystal structure of LuFeCuMo, computed with PBE.

Cell lengths 4.4449, 4.4449, 4.4449 Å; angles 60.00, 60.00, 60.00 degrees
Last column: nearest neighbours and their distance in Å.
Sites, in units of the cell vectors:
Cu1 0.7500 0.7500 0.7500  4 Lu 2.72, 4 Mo 2.72
Fe1 0.2500 0.2500 0.2500  4 Lu 2.72, 4 Mo 2.72
Lu1 0.5000 0.5000 0.5000  4 Cu 2.72, 4 Fe 2.72
Mo1 0.0000 0.0000 0.0000  4 Cu 2.72, 4 Fe 2.72

The crystal system is cubic. As for the theoretical density: 10.44 g/cm3.

***

#three
An optimized crystal structure of LuFeCuMo, computed with PBE.

Cell lengths 4.4510, 4.4510, 4.4510 Å; angles 60.00, 60.00, 60.00 degrees
Last column: nearest neighbours and their distance in Å.
Sites, in units of the cell vectors:
Cu1 0.7500 0.7500 0.7500  4 Mo 2.73, 4 Fe 2.73
Fe1 0.5000 0.5000 0.5000  4 Lu 2.73, 4 Cu 2.73
Lu1 0.2500 0.2500 0.2500  4 Fe 2.73, 4 Mo 2.73
Mo1 0.0000 0.0000 0.0000  4 Cu 2.73, 4 Lu 2.73

The crystal system is cubic. As for the theoretical density: 10.39 g/cm3.

***

Stability comparison, relative energies in eV/atom: #one 0.071; #two 0.000; #three 0.362